# 1
VASP calculation (PBE) on crystalline SrZnO2F at its relaxed geometry.

Cell: 3.918 3.918 4.241 Å, 90.00 90.00 90.00°
Element x y z (fractional)
Sr 0.000 0.000 0.000
Zn 0.500 0.500 0.500
O 0.000 0.500 0.500
O 0.500 0.000 0.500
F 0.500 0.500 0.000

Results
magnetic moment: 0.50 μB/f.u.
ΔE_f (raw): -2.0708 eV per atom
calculated total energy: -25.1 eV/f.u.

---

# 2
VASP calculation (PBE) on crystalline SrZnOF2 at its relaxed geometry.

Cell: 4.139 4.139 3.969 Å, 90.00 90.00 90.00°
Element x y z (fractional)
Sr 0.000 0.000 0.000
Zn 0.500 0.500 0.500
O 0.500 0.500 0.000
F 0.000 0.500 0.500
F 0.500 0.000 0.500

Results
magnetic moment: 0.00 μB/f.u.
ΔE_f (raw): -2.5833 eV per atom
calculated total energy: -24.6 eV/f.u.
excess energy over the best structure of this formula in the dataset: 0 meV per atom